# 1
Computed, not measured: an optimized crystal structure of BaHg4Au at the PBE level of DFT.

Polymorph energy (0 for the lowest one)   0.0 meV/atom
D(E_F)   6.3 states/eV/cell
Space group   Cmcm, No. 63
Calculated density   11.05 g cm⁻³
Energy of formation   -332 meV/atom
Electronic total energy   -16.8 eV per cell
Volume   341.6 Å³ per cell

a b c (Å): 4.895 7.942 9.120
angles (deg): 90.00 105.57 90.00
Fractional positions:
Ba1 0.132 0.250 0.265
Ba2 0.868 0.750 0.735
Hg1 0.500 0.500 0.000
Hg2 0.500 0.000 0.000
Hg3 0.675 0.943 0.350
Hg4 0.325 0.057 0.650
Hg5 0.325 0.443 0.650
Hg6 0.675 0.557 0.350
Hg7 0.062 0.750 0.123
Hg8 0.938 0.250 0.877
Au1 0.229 0.750 0.457
Au2 0.771 0.250 0.543

***

# 2
Computed, not measured: an optimized crystal structure of BaHg3Au3 at the PBE level of DFT.

Polymorph energy (0 for the lowest one)   109.9 meV/atom
D(E_F)   5.5 states/eV/cell
Space group   R-3, No. 148
Calculated density   11.26 g cm⁻³
Energy of formation   -231 meV/atom
Electronic total energy   -28.5 eV per cell
Volume   392.3 Å³ per cell

a b c (Å): 7.761 7.761 8.754
angles (deg): 63.69 63.69 60.00
Fractional positions:
Ba1 0.313 0.313 0.061
Ba2 0.687 0.687 0.939
Hg1 0.352 0.902 0.691
Hg2 0.902 0.055 0.691
Hg3 0.055 0.352 0.691
Hg4 0.945 0.648 0.309
Hg5 0.098 0.945 0.309
Hg6 0.648 0.098 0.309
Au1 0.362 0.514 0.322
Au2 0.802 0.362 0.322
Au3 0.514 0.802 0.322
Au4 0.486 0.198 0.678
Au5 0.198 0.638 0.678
Au6 0.638 0.486 0.678

***

# 3
Computed, not measured: an optimized crystal structure of BaHg8Au4 at the PBE level of DFT.

D(E_F)   4.2 states/eV/cell
Space group   I4/mmm, No. 139
Calculated density   13.39 g cm⁻³
Energy of formation   -120 meV/atom
Electronic total energy   -19.0 eV per cell
Volume   313.7 Å³ per cell

a b c (Å): 5.614 7.985 7.985
angles (deg): 82.90 69.42 69.42
Fractional positions:
Ba1 0.000 0.000 0.000
Hg1 0.000 0.356 0.644
Hg2 0.000 0.644 0.356
Hg3 0.356 0.644 0.644
Hg4 0.644 0.356 0.356
Hg5 0.500 0.782 0.218
Hg6 0.500 0.218 0.782
Hg7 0.282 0.218 0.218
Hg8 0.718 0.782 0.782
Au1 0.000 0.000 0.500
Au2 0.500 0.000 0.500
Au3 0.000 0.500 0.000
Au4 0.500 0.500 0.000

***

# 4
Computed, not measured: an optimized crystal structure of Ba6HgAu2 at the PBE level of DFT.

Polymorph energy (0 for the lowest one)   0.0 meV/atom
D(E_F)   21.2 states/eV/cell
Space group   Immm, No. 71
Calculated density   6.10 g cm⁻³
Energy of formation   -439 meV/atom
Electronic total energy   -44.7 eV per cell
Volume   772.9 Å³ per cell

a b c (Å): 10.030 10.030 10.030
angles (deg): 105.91 108.79 113.81
Fractional positions:
Ba1 0.447 0.275 0.172
Ba2 0.553 0.725 0.828
Ba3 0.896 0.725 0.172
Ba4 0.104 0.275 0.828
Ba5 0.186 0.755 0.941
Ba6 0.814 0.245 0.059
Ba7 0.814 0.755 0.568
Ba8 0.186 0.245 0.432
Ba9 0.312 0.977 0.665
Ba10 0.688 0.023 0.335
Ba11 0.688 0.353 0.665
Ba12 0.312 0.647 0.335
Hg1 0.000 0.500 0.500
Hg2 0.000 0.000 0.000
Au1 0.500 0.378 0.878
Au2 0.500 0.622 0.122
Au3 0.328 0.000 0.328
Au4 0.672 0.000 0.672

***

# 5
Computed, not measured: an optimized crystal structure of BaHg12Au6 at the PBE level of DFT.

D(E_F)   7.0 states/eV/cell
Space group   R-3m, No. 166
Calculated density   13.11 g cm⁻³
Energy of formation   -58 meV/atom
Electronic total energy   -26.3 eV per cell
Volume   471.9 Å³ per cell

a b c (Å): 8.117 8.117 8.117
angles (deg): 104.56 104.56 104.56
Fractional positions:
Ba1 0.000 0.000 0.000
Hg1 0.887 0.113 0.500
Hg2 0.852 0.600 0.600
Hg3 0.600 0.600 0.852
Hg4 0.400 0.148 0.400
Hg5 0.400 0.400 0.148
Hg6 0.148 0.400 0.400
Hg7 0.113 0.500 0.887
Hg8 0.500 0.887 0.113
Hg9 0.113 0.887 0.500
Hg10 0.887 0.500 0.113
Hg11 0.500 0.113 0.887
Hg12 0.600 0.852 0.600
Au1 0.709 0.277 0.277
Au2 0.277 0.277 0.709
Au3 0.277 0.709 0.277
Au4 0.723 0.723 0.291
Au5 0.291 0.723 0.723
Au6 0.723 0.291 0.723

***

# 6
Computed, not measured: an optimized crystal structure of BaHg2Au at the PBE level of DFT.

D(E_F)   6.1 states/eV/cell
Space group   I-42d, No. 122
Calculated density   9.22 g cm⁻³
Energy of formation   -344 meV/atom
Electronic total energy   -14.4 eV per cell
Volume   264.9 Å³ per cell

a b c (Å): 4.846 4.846 11.787
angles (deg): 78.14 78.14 90.00
Fractional positions:
Au1 0.000 0.000 0.000
Au2 0.750 0.250 0.500
Hg1 0.695 0.125 0.250
Hg2 0.055 0.625 0.250
Hg3 0.375 0.305 0.750
Hg4 0.875 0.945 0.750
Ba1 0.500 0.500 0.000
Ba2 0.250 0.750 0.500

***

# 7
Computed, not measured: an optimized crystal structure of Ba3Hg2Au at the PBE level of DFT.

Polymorph energy (0 for the lowest one)   5.7 meV/atom
D(E_F)   12.1 states/eV/cell
Space group   Cmmm, No. 65
Calculated density   7.82 g cm⁻³
Energy of formation   -564 meV/atom
Electronic total energy   -26.1 eV per cell
Volume   429.0 Å³ per cell

a b c (Å): 5.886 9.311 8.252
angles (deg): 90.00 90.00 71.57
Fractional positions:
Ba1 0.830 0.340 0.760
Ba2 0.500 0.000 0.245
Ba3 0.170 0.660 0.240
Ba4 0.830 0.340 0.240
Ba5 0.170 0.660 0.760
Ba6 0.500 0.000 0.755
Hg1 0.000 0.000 0.000
Hg2 0.000 0.000 0.500
Hg3 0.333 0.334 0.500
Hg4 0.667 0.666 0.500
Au1 0.338 0.323 0.000
Au2 0.662 0.677 0.000

***

# 8
Computed, not measured: an optimized crystal structure of BaHgAu at the PBE level of DFT.

D(E_F)   3.3 states/eV/cell
Space group   C2/m, No. 12
Calculated density   9.69 g cm⁻³
Energy of formation   -603 meV/atom
Electronic total energy   -14.6 eV per cell
Volume   183.3 Å³ per cell

a b c (Å): 4.721 6.345 7.067
angles (deg): 75.65 70.48 68.16
Fractional positions:
Ba1 0.547 0.201 0.705
Ba2 0.453 0.799 0.295
Hg1 0.825 0.246 0.105
Hg2 0.175 0.754 0.895
Au1 0.149 0.376 0.326
Au2 0.851 0.624 0.674

***

# 9
Computed, not measured: an optimized crystal structure of Ba3Hg2Au2 at the PBE level of DFT.

D(E_F)   3.9 states/eV/cell
Space group   C2/m, No. 12
Calculated density   8.78 g cm⁻³
Energy of formation   -585 meV/atom
Electronic total energy   -17.0 eV per cell
Volume   228.3 Å³ per cell

a b c (Å): 5.510 5.509 10.729
angles (deg): 90.01 120.56 119.99
Fractional positions:
Ba1 0.000 0.000 0.000
Ba2 0.291 0.146 0.718
Ba3 0.709 0.854 0.282
Hg1 0.666 0.333 0.500
Hg2 0.334 0.667 0.500
Au1 0.830 0.415 0.122
Au2 0.170 0.585 0.878

***

# 10
Computed, not measured: an optimized crystal structure of Ba6HgAu5 at the PBE level of DFT.

D(E_F)   9.9 states/eV/cell
Space group   C2/m, No. 12
Calculated density   8.28 g cm⁻³
Energy of formation   -649 meV/atom
Electronic total energy   -36.0 eV per cell
Volume   402.8 Å³ per cell

a b c (Å): 5.756 9.972 9.972
angles (deg): 120.18 106.83 106.83
Fractional positions:
Au1 0.500 0.162 0.838
Au2 0.000 0.333 0.667
Au3 0.500 0.500 0.500
Au4 0.000 0.667 0.333
Au5 0.500 0.838 0.162
Ba1 0.253 0.083 0.422
Ba2 0.747 0.578 0.917
Ba3 0.757 0.257 0.257
Ba4 0.243 0.743 0.743
Ba5 0.253 0.422 0.083
Ba6 0.747 0.917 0.578
Hg1 0.000 0.000 0.000

***

# 11
Computed, not measured: an optimized crystal structure of BaHgAu3 at the PBE level of DFT.

Polymorph energy (0 for the lowest one)   241.6 meV/atom
D(E_F)   2.0 states/eV/cell
Space group   Pm-3m, No. 221
Calculated density   10.16 g cm⁻³
Energy of formation   -209 meV/atom
Electronic total energy   -13.1 eV per cell
Volume   151.9 Å³ per cell

a b c (Å): 5.335 5.335 5.335
angles (deg): 90.00 90.00 90.00
Fractional positions:
Au1 0.000 0.500 0.000
Au2 0.000 0.000 0.500
Au3 0.500 0.000 0.000
Hg1 0.000 0.000 0.000
Ba1 0.500 0.500 0.500

***

# 12
Computed, not measured: an optimized crystal structure of BaHg2Au at the PBE level of DFT.

D(E_F)   1.8 states/eV/cell
Space group   P4/mmm, No. 123
Calculated density   10.04 g cm⁻³
Energy of formation   -411 meV/atom
Electronic total energy   -7.4 eV per cell
Volume   121.6 Å³ per cell

a b c (Å): 4.783 4.782 5.316
angles (deg): 90.00 90.00 90.00
Fractional positions:
Au1 0.500 0.000 0.500
Hg1 0.000 0.000 0.000
Hg2 0.500 0.500 0.000
Ba1 0.000 0.500 0.500